No. 1
{"formula": "BiPdCl2", "functional": "PBE", "state": "optimized geometry", "lattice_angstrom": [[1.9961, 0.0000, 9.2003], [-0.9980, 1.7287, 9.2003], [-0.9980, -1.7287, 9.2003]], "species": ["Cl", "Bi", "Cl", "Pd"], "frac_coords": [[0.9165, 0.9165, 0.9165], [0.5000, 0.5000, 0.5000], [0.0835, 0.0835, 0.0835], [0.0000, 0.0000, 0.0000]], "e_form_raw_ev_per_atom": -0.194, "vol_a3_per_atom": 23.81, "e_above_lowest_polymorph_mev_per_atom": 0, "dos_at_fermi_per_ev_atom": 0.576}

No. 2
{"formula": "InRe2BiP", "functional": "PBE", "state": "optimized geometry", "lattice_angstrom": [[4.5223, 0.0000, 0.0000], [0.0000, 5.3912, 0.0000], [0.0000, 0.0000, 4.5223]], "species": ["P", "Re", "Re", "Bi", "In"], "frac_coords": [[0.0000, 0.0000, 0.0000], [0.5000, 0.0000, 0.0000], [0.0000, 0.0000, 0.5000], [0.0000, 0.5000, 0.0000], [0.5000, 0.5000, 0.5000]], "delta_e_f_ev_per_atom": 1.17, "vol_a3_per_atom": 22.05, "dos_at_fermi_per_ev_atom": 1.256}

No. 3
{"formula": "Al2SiHg", "functional": "PBE", "state": "optimized geometry", "lattice_angstrom": [[-1.8157, 4.9190, -2.9536], [-4.2433, -0.2587, -4.2596], [1.9501, -0.5439, 5.6673]], "species": ["Hg", "Si", "Al", "Al"], "frac_coords": [[0.7500, 0.2500, 0.5000], [0.2500, 0.7500, 0.5000], [0.0303, 0.0303, 0.0000], [0.4697, 0.4697, 0.0000]], "e_form_raw_ev_per_atom": 0.292, "vol_a3_per_atom": 19.00, "e_above_lowest_polymorph_mev_per_atom": 119, "dos_at_fermi_per_ev_atom": 0.405}